No. 1
Here is a relaxed Ni2HSe crystal from the Alexandria database. Energies are from GGA-PBE.

Calculated values
Total DFT energy (no corrections) = -17.9 eV/cell
ρ = 7.5 g/cm3
Energy above the most stable polymorph in this dataset = 0.153 eV per atom
Spin magnetization = 0.0 μB per formula unit

a b c (Å): 3.0941 3.0941 5.5601
angles (deg): 73.84 73.84 60.00
Last column: nearest neighbours and their distance in Å.
Fractional coordinates of all 4 atoms:
Ni (0.0502, 0.0502, 0.8495)  3 H 1.88
Ni (0.2685, 0.2685, 0.1945)  3 H 2.18, 3 Se 2.40
H (0.6805, 0.6805, 0.9584)  3 Ni 1.88
Se (0.5008, 0.5008, 0.4975)  6 Ni 2.40-2.57

---

No. 2
Here is a relaxed TmBeGaCu6 crystal from the Alexandria database. Energies are from GGA-PBE.

Calculated values
Total DFT energy (no corrections) = -70.2 eV/cell
ρ = 7.9 g/cm3
Formation energy = 69 kJ/mol of formula units
Spin magnetization = 0.0 μB per formula unit

a b c (Å): 6.1830 7.9567 7.3609
angles (deg): 122.72 114.83 90.00
Last column: nearest neighbours and their distance in Å.
Fractional coordinates of all 18 atoms:
Tm (0.7043, 0.4543, 0.4086)  10 Cu 2.89-3.05, 2 Be 2.96
Tm (0.2957, 0.5457, 0.5914)  10 Cu 2.89-3.05, 2 Be 2.96
Be (0.5000, 0.5000, 0.0000)  6 Cu 2.13-2.23
Be (0.5000, 0.0000, 0.0000)  6 Cu 2.13-2.23
Ga (0.5000, 0.0000, 0.5000)  6 Cu 2.45-2.46
Ga (0.0000, 0.0000, 0.5000)  6 Cu 2.45-2.46
Cu (0.5713, 0.8213, 0.1426)  2 Be 2.13
Cu (0.0197, 0.2697, 0.0395)  8 Cu 2.59-2.75
Cu (0.9156, 0.1139, 0.2340)  1 Be 2.23, 1 Ga 2.45, 1 Cu 2.49
Cu (0.3183, 0.6201, 0.2340)  1 Be 2.23, 1 Ga 2.45, 1 Cu 2.49
Cu (0.3183, 0.1139, 0.2340)  1 Be 2.23, 1 Ga 2.45, 1 Cu 2.49
Cu (0.9156, 0.6201, 0.2340)  1 Be 2.23, 1 Ga 2.45, 1 Cu 2.49
Cu (0.4287, 0.1787, 0.8574)  2 Be 2.13
Cu (0.9803, 0.7303, 0.9605)  8 Cu 2.59-2.75
Cu (0.0844, 0.8861, 0.7660)  1 Be 2.23, 1 Ga 2.45, 1 Cu 2.49
Cu (0.6817, 0.3799, 0.7660)  1 Be 2.23, 1 Ga 2.45, 1 Cu 2.49
Cu (0.6817, 0.8861, 0.7660)  1 Be 2.23, 1 Ga 2.45, 1 Cu 2.49
Cu (0.0844, 0.3799, 0.7660)  1 Be 2.23, 1 Ga 2.45, 1 Cu 2.49

---

No. 3
Here is a relaxed TbEr2Tm crystal from the Alexandria database. Energies are from GGA-PBE.

Calculated values
Total DFT energy (no corrections) = -18.2 eV/cell
ρ = 8.9 g/cm3
Formation energy = 0 kJ/mol of formula units
Energy above the most stable polymorph in this dataset = 0.000 eV per atom
Spin magnetization = 0.0 μB per formula unit

a b c (Å): 3.5880 6.6223 6.6222
angles (deg): 55.84 74.28 74.28
Last column: nearest neighbours and their distance in Å.
Fractional coordinates of all 4 atoms:
Tb (0.2500, 0.1673, 0.3327)  6 Er 3.46-3.48, 4 Tm 3.57-3.59, 2 Tb 3.59
Er (0.0005, 0.0827, 0.9156)  3 Tb 3.46-3.48, 3 Tm 3.46-3.47, 6 Er 3.58-3.59
Er (0.4995, 0.5844, 0.4173)  3 Tb 3.46-3.48, 3 Tm 3.46-3.47, 6 Er 3.58-3.59
Tm (0.7500, 0.6656, 0.8344)  6 Er 3.46-3.47, 4 Tb 3.57-3.59, 2 Tm 3.59

---

No. 4
Here is a relaxed ErTm2Te crystal from the Alexandria database. Energies are from GGA-PBE.

Calculated values
Total DFT energy (no corrections) = -17.2 eV/cell
ρ = 8.1 g/cm3
Energy relative to the elements, uncorrected = -0.147 eV per atom
Energy above the most stable polymorph in this dataset = 0.471 eV per atom
Spin magnetization = 0.3 μB per formula unit

a b c (Å): 3.7275 3.7275 11.0528
angles (deg): 80.29 80.29 60.00
Last column: nearest neighbours and their distance in Å.
Fractional coordinates of all 4 atoms:
Tm (0.1024, 0.1024, 0.6929)  3 Te 3.00, 1 Er 3.33
Tm (0.8976, 0.8976, 0.3071)  3 Te 3.00, 1 Er 3.33
Te (0.5000, 0.5000, 0.5000)  6 Tm 3.00
Er (0.0000, 0.0000, 0.0000)  2 Tm 3.33, 6 Er 3.73

---

No. 5
Here is a relaxed Zr12Zn3Pd crystal from the Alexandria database. Energies are from GGA-PBE.

Calculated values
Total DFT energy (no corrections) = -113.9 eV/cell
ρ = 7.0 g/cm3
Formation energy = -227 kJ/mol of formula units
Spin magnetization = 0.0 μB per formula unit

a b c (Å): 4.3381 4.3381 17.5731
angles (deg): 90.00 90.00 90.00
Last column: nearest neighbours and their distance in Å.
Fractional coordinates of all 16 atoms:
Zr (0.5000, 0.5000, 0.0000)  4 Pd 3.07, 8 Zr 3.11
Zr (0.5000, 0.5000, 0.2501)  8 Zr 3.06-3.10, 4 Zn 3.07
Zr (0.5000, 0.5000, 0.5000)  4 Zn 3.07, 8 Zr 3.08
Zr (0.5000, 0.5000, 0.7499)  8 Zr 3.06-3.10, 4 Zn 3.07
Zr (0.5000, 0.0000, 0.1271)  8 Zr 3.06-3.11, 2 Zn 3.07, 2 Pd 3.11
Zr (0.5000, 0.0000, 0.3758)  8 Zr 3.07-3.10, 4 Zn 3.08
Zr (0.5000, 0.0000, 0.6242)  8 Zr 3.07-3.10, 4 Zn 3.08
Zr (0.5000, 0.0000, 0.8729)  8 Zr 3.06-3.11, 2 Zn 3.07, 2 Pd 3.11
Zr (0.0000, 0.5000, 0.1271)  8 Zr 3.06-3.11, 2 Zn 3.07, 2 Pd 3.11
Zr (0.0000, 0.5000, 0.3758)  8 Zr 3.07-3.10, 4 Zn 3.08
Zr (0.0000, 0.5000, 0.6242)  8 Zr 3.07-3.10, 4 Zn 3.08
Zr (0.0000, 0.5000, 0.8729)  8 Zr 3.06-3.11, 2 Zn 3.07, 2 Pd 3.11
Zn (0.0000, 0.0000, 0.2510)  12 Zr 3.07-3.08
Zn (0.0000, 0.0000, 0.5000)  12 Zr 3.07-3.08
Zn (0.0000, 0.0000, 0.7490)  12 Zr 3.07-3.08
Pd (0.0000, 0.0000, 0.0000)  12 Zr 3.07-3.11

---

No. 6
Here is a relaxed Li7Tl3Ag crystal from the Alexandria database. Energies are from GGA-PBE.

Calculated values
Total DFT energy (no corrections) = -49.8 eV/cell
ρ = 5.7 g/cm3
Formation energy = -148 kJ/mol of formula units
Spin magnetization = 0.0 μB per formula unit

a b c (Å): 3.0274 9.9805 14.9040
angles (deg): 90.00 90.00 98.72
Last column: nearest neighbours and their distance in Å.
Fractional coordinates of all 22 atoms:
Li (0.3825, 0.7650, 0.7500)  1 Tl 2.98, 2 Ag 3.01, 4 Li 3.03-3.14
Li (0.6175, 0.2350, 0.2500)  1 Tl 2.98, 2 Ag 3.01, 4 Li 3.03-3.14
Li (0.5103, 0.0205, 0.4053)  4 Li 2.71-3.03, 2 Ag 2.81, 2 Tl 2.90
Li (0.4897, 0.9795, 0.5947)  4 Li 2.71-3.03, 2 Ag 2.81, 2 Tl 2.90
Li (0.4897, 0.9795, 0.9053)  4 Li 2.71-3.03, 2 Ag 2.81, 2 Tl 2.90
Li (0.5103, 0.0205, 0.0947)  4 Li 2.71-3.03, 2 Ag 2.81, 2 Tl 2.90
Li (0.3817, 0.7634, 0.3406)  3 Li 2.70-2.76, 2 Ag 2.89, 4 Tl 2.98-3.02
Li (0.6183, 0.2366, 0.6594)  3 Li 2.70-2.76, 2 Ag 2.89, 4 Tl 2.98-3.02
Li (0.2541, 0.5083, 0.4159)  5 Li 2.76-3.03, 3 Tl 2.86-2.91
Li (0.7459, 0.4917, 0.5841)  5 Li 2.76-3.03, 3 Tl 2.86-2.91
Li (0.7459, 0.4917, 0.9159)  5 Li 2.76-3.03, 3 Tl 2.86-2.91
Li (0.2541, 0.5083, 0.0841)  5 Li 2.76-3.03, 3 Tl 2.86-2.91
Li (0.3817, 0.7634, 0.1594)  3 Li 2.70-2.76, 2 Ag 2.89, 4 Tl 2.98-3.02
Li (0.6183, 0.2366, 0.8406)  3 Li 2.70-2.76, 2 Ag 2.89, 4 Tl 2.98-3.02
Tl (0.1195, 0.2391, 0.4870)  5 Li 2.86-2.98, 2 Tl 3.03
Tl (0.8805, 0.7609, 0.5130)  5 Li 2.86-2.98, 2 Tl 3.03
Tl (0.2314, 0.4628, 0.7500)  9 Li 2.91-3.02, 2 Tl 3.03
Tl (0.7686, 0.5372, 0.2500)  9 Li 2.91-3.02, 2 Tl 3.03
Tl (0.1195, 0.2391, 0.0130)  5 Li 2.86-2.98, 2 Tl 3.03
Tl (0.8805, 0.7609, 0.9870)  5 Li 2.86-2.98, 2 Tl 3.03
Ag (0.9859, 0.9718, 0.2500)  10 Li 2.81-3.01, 2 Ag 3.03
Ag (0.0141, 0.0282, 0.7500)  10 Li 2.81-3.01, 2 Ag 3.03

---

Q: spin magnetization of number 6 (Li7Tl3Ag)?
A: 0.0 μB per formula unit